1.
LiCeIn | Alexandria via LeMat-Bulk | GGA-PBE | optimized geometry; ΔH_f (0 K) = -0.14 eV per atom; uncorrected energy = -11.0 eV for the cell shown
1.0
-0.1964 -0.8531 3.1032
0.0331 -3.1093 -0.8527
6.6818 1.9400 -0.7189
Ce In Li
1 1 1
Cartesian
1.4549 -1.9908 1.2198
5.5962 -2.0167 1.4748
4.0059 -0.0250 0.2466

=====

2.
LiCe2In12 | Alexandria via LeMat-Bulk | GGA-PBE | optimized geometry; ΔH_f (0 K) = -0.14 eV per atom; uncorrected energy = -97.5 eV for the cell shown
1.0
6.8613 0.0000 0.0000
0.0000 6.8613 0.0000
0.0000 0.0000 17.1642
In Li Ce
24 2 4
Cartesian
1.7196 5.1502 15.6804
3.4307 3.4307 11.2738
5.1502 5.1418 15.6804
1.1223 2.3084 7.3505
1.7111 5.1418 1.4839
0.0000 0.0000 3.1617
0.0000 0.0000 5.8905
2.3084 5.7390 7.3505
1.7196 1.7111 1.4839
4.5529 1.1223 7.3505
2.3084 1.1223 9.8138
5.1418 5.1502 1.4839
3.4307 3.4307 3.1617
1.7111 1.7195 15.6804
0.0000 0.0000 14.0025
1.1223 4.5529 9.8138
0.0000 0.0000 11.2738
5.7390 4.5529 7.3505
5.1418 1.7111 15.6804
4.5529 5.7390 9.8138
5.7390 2.3084 9.8138
3.4307 3.4307 14.0025
3.4307 3.4307 5.8905
5.1502 1.7196 1.4839
3.4307 0.0000 0.0000
0.0000 3.4307 0.0000
3.4307 0.0000 4.1288
3.4307 0.0000 13.0355
0.0000 3.4307 4.1288
0.0000 3.4307 13.0355

=====

3.
Li2Ce3In4 | Alexandria via LeMat-Bulk | GGA-PBE | optimized geometry; ΔH_f (0 K) = -0.32 eV per atom; uncorrected energy = -35.5 eV for the cell shown
1.0
5.0737 0.0000 0.0000
-2.5369 5.0272 -2.3218
0.0000 -1.3004 9.3752
Ce In Li
3 4 2
Cartesian
2.5369 0.5939 5.3962
0.0000 0.0000 0.0000
0.0000 3.1329 1.6572
0.0000 0.1303 3.2692
0.0000 1.5299 7.4516
2.5369 2.1969 -0.3982
2.5369 3.5965 3.7842
0.0000 2.8597 4.9678
2.5369 0.8672 2.0856

=====

4.
LiCeIn2 | Alexandria via LeMat-Bulk | GGA-PBE | optimized geometry; ΔH_f (0 K) = -0.34 eV per atom; uncorrected energy = -14.7 eV for the cell shown
1.0
3.4774 0.0000 0.0000
0.0000 3.4774 0.0000
0.0000 0.0000 7.7629
In Li Ce
2 1 1
Cartesian
0.0000 0.0000 1.5932
0.0000 0.0000 6.1698
1.7387 1.7387 0.0000
1.7387 1.7387 3.8815

=====

Q: The lowest uncorrected energy belongs to which entry?
A: LiCe2In12

=====

Copy entry 3 word for word.
Li2Ce3In4 | Alexandria via LeMat-Bulk | GGA-PBE | optimized geometry; ΔH_f (0 K) = -0.32 eV per atom; uncorrected energy = -35.5 eV for the cell shown
1.0
5.0737 0.0000 0.0000
-2.5369 5.0272 -2.3218
0.0000 -1.3004 9.3752
Ce In Li
3 4 2
Cartesian
2.5369 0.5939 5.3962
0.0000 0.0000 0.0000
0.0000 3.1329 1.6572
0.0000 0.1303 3.2692
0.0000 1.5299 7.4516
2.5369 2.1969 -0.3982
2.5369 3.5965 3.7842
0.0000 2.8597 4.9678
2.5369 0.8672 2.0856

=====

Q: What is the ΔH_f (0 K) in the second record?
A: -0.14 eV per atom

=====

Please write out number 4 again, unchanged.
LiCeIn2 | Alexandria via LeMat-Bulk | GGA-PBE | optimized geometry; ΔH_f (0 K) = -0.34 eV per atom; uncorrected energy = -14.7 eV for the cell shown
1.0
3.4774 0.0000 0.0000
0.0000 3.4774 0.0000
0.0000 0.0000 7.7629
In Li Ce
2 1 1
Cartesian
0.0000 0.0000 1.5932
0.0000 0.0000 6.1698
1.7387 1.7387 0.0000
1.7387 1.7387 3.8815